[1]
Crystalline CeHo2 at its relaxed geometry. Source: Alexandria via LeMat-Bulk, functional GGA-PBE.

Output
Electronic total energy: -4.64 eV per atom
Calculated density: 7.68 g cm⁻³
Calculated volume: 33.85 Å³ per atom
Fermi-level density of states: 3.668 states/eV per atom

Structure (POSCAR):
```
CeHo2
1.0
6.598 0.000 0.000
3.299 5.714 0.000
3.299 1.905 5.387
Ho Ce
4 2
direct
0.125 0.625 0.625 Ho
0.625 0.125 0.625 Ho
0.625 0.625 0.625 Ho
0.625 0.625 0.125 Ho
0.000 0.000 0.000 Ce
0.250 0.250 0.250 Ce
```



[2]
Crystalline CeHo2 at its relaxed geometry. Source: Alexandria via LeMat-Bulk, functional GGA-PBE.

Output
Electronic total energy: -4.96 eV per atom
Calculated density: 8.52 g cm⁻³
Calculated volume: 30.53 Å³ per atom
Fermi-level density of states: 2.127 states/eV per atom

Structure (POSCAR):
```
CeHo2
1.0
-0.143 -2.288 2.655
0.103 -2.659 -2.286
7.454 2.441 0.187
Ho Ce
2 1
direct
0.664 0.664 0.328 Ho
0.336 0.336 0.672 Ho
0.000 0.000 0.000 Ce
```



[3]
Crystalline CeHo5 at its relaxed geometry. Source: Alexandria via LeMat-Bulk, functional GGA-PBE.

Output
Electronic total energy: -4.75 eV per atom
Calculated density: 8.65 g cm⁻³
Calculated volume: 30.86 Å³ per atom
Fermi-level density of states: 1.803 states/eV per atom

Structure (POSCAR):
```
CeHo5
1.0
3.511 0.000 0.000
-1.756 5.355 -2.346
0.000 -0.303 9.983
Ce Ho
1 5
direct
0.000 0.000 0.000 Ce
0.666 0.332 0.835 Ho
0.333 0.666 0.668 Ho
0.000 0.000 0.500 Ho
0.667 0.334 0.332 Ho
0.334 0.668 0.165 Ho
```



[4]
Crystalline CeHo4 at its relaxed geometry. Source: Alexandria via LeMat-Bulk, functional GGA-PBE.

Output
Electronic total energy: -4.78 eV per atom
Calculated density: 8.56 g cm⁻³
Calculated volume: 31.05 Å³ per atom
Fermi-level density of states: 2.098 states/eV per atom

Structure (POSCAR):
```
CeHo4
1.0
-4.109 -1.544 2.424
-4.440 -2.053 -3.649
0.061 -5.908 1.528
Ce Ho
1 4
direct
0.000 0.000 0.000 Ce
0.203 0.198 0.397 Ho
0.600 0.603 0.198 Ho
0.797 0.802 0.603 Ho
0.400 0.397 0.802 Ho
```



[5]
Crystalline CeHo4 at its relaxed geometry. Source: Alexandria via LeMat-Bulk, functional GGA-PBE.

Output
Electronic total energy: -4.79 eV per atom
Calculated density: 8.61 g cm⁻³
Calculated volume: 30.84 Å³ per atom
Fermi-level density of states: 1.866 states/eV per atom

Structure (POSCAR):
```
CeHo4
1.0
6.920 0.000 0.000
3.460 5.408 0.769
3.460 1.537 8.460
Ce Ho
2 8
direct
0.802 0.000 0.000 Ce
0.198 0.000 0.000 Ce
0.798 0.621 0.783 Ho
0.310 0.599 0.780 Ho
0.853 0.199 0.603 Ho
0.345 0.199 0.603 Ho
0.655 0.801 0.397 Ho
0.147 0.801 0.397 Ho
0.690 0.401 0.220 Ho
0.202 0.379 0.217 Ho
```



[6]
Crystalline CeHo7 at its relaxed geometry. Source: Alexandria via LeMat-Bulk, functional GGA-PBE.

Output
Electronic total energy: -4.71 eV per atom
Calculated density: 8.72 g cm⁻³
Calculated volume: 30.83 Å³ per atom
Fermi-level density of states: 1.472 states/eV per atom

Structure (POSCAR):
```
CeHo7
1.0
-2.158 3.775 -5.536
1.188 -2.338 -6.532
-5.359 -2.289 -3.947
Ce Ho
1 7
direct
0.000 0.000 0.000 Ce
0.500 0.500 0.000 Ho
0.500 0.000 0.500 Ho
0.000 0.500 0.500 Ho
0.500 0.000 0.000 Ho
0.000 0.500 0.000 Ho
0.000 0.000 0.500 Ho
0.500 0.500 0.500 Ho
```



[7]
Crystalline Ce2Ho at its relaxed geometry. Source: Alexandria via LeMat-Bulk, functional GGA-PBE.

Output
Electronic total energy: -5.27 eV per atom
Calculated density: 8.36 g cm⁻³
Calculated volume: 29.48 Å³ per atom
Fermi-level density of states: 3.102 states/eV per atom

Structure (POSCAR):
```
Ce2Ho
1.0
-2.295 0.417 5.853
0.111 -5.030 3.794
3.914 -0.137 4.936
Ho Ce
2 4
direct
0.000 0.000 0.000 Ho
0.250 0.250 0.250 Ho
0.125 0.625 0.625 Ce
0.625 0.125 0.625 Ce
0.625 0.625 0.625 Ce
0.625 0.625 0.125 Ce
```



[8]
Crystalline CeHo5 at its relaxed geometry. Source: Alexandria via LeMat-Bulk, functional GGA-PBE.

Output
Electronic total energy: -4.75 eV per atom
Calculated density: 8.62 g cm⁻³
Calculated volume: 30.98 Å³ per atom
Fermi-level density of states: 1.826 states/eV per atom

Structure (POSCAR):
```
CeHo5
1.0
5.012 0.000 0.000
-2.506 5.566 -0.050
0.000 -2.141 6.682
Ce Ho
1 5
direct
0.000 0.000 0.000 Ce
0.333 0.667 0.164 Ho
0.000 0.000 0.500 Ho
0.667 0.333 0.836 Ho
0.666 0.331 0.331 Ho
0.334 0.669 0.669 Ho
```



[9]
Crystalline Ce2Ho at its relaxed geometry. Source: Alexandria via LeMat-Bulk, functional GGA-PBE.

Output
Electronic total energy: -5.41 eV per atom
Calculated density: 8.60 g cm⁻³
Calculated volume: 28.65 Å³ per atom
Fermi-level density of states: 2.348 states/eV per atom

Structure (POSCAR):
```
Ce2Ho
1.0
3.423 0.000 0.000
0.000 3.423 0.000
-1.711 -1.711 7.338
Ho Ce
1 2
direct
0.000 0.000 0.000 Ho
0.673 0.673 0.345 Ce
0.327 0.327 0.655 Ce
```



[10]
Crystalline CeHo at its relaxed geometry. Source: Alexandria via LeMat-Bulk, functional GGA-PBE.

Output
Electronic total energy: -5.18 eV per atom
Calculated density: 8.55 g cm⁻³
Calculated volume: 29.63 Å³ per atom
Fermi-level density of states: 2.689 states/eV per atom

Structure (POSCAR):
```
CeHo
1.0
3.458 0.000 0.186
0.000 4.928 0.000
-0.372 0.000 6.935
Ho Ce
2 2
direct
0.250 0.750 0.629 Ho
0.750 0.250 0.371 Ho
0.250 0.750 0.112 Ce
0.750 0.250 0.888 Ce
```



[11]
Crystalline CeHo at its relaxed geometry. Source: Alexandria via LeMat-Bulk, functional GGA-PBE.

Output
Electronic total energy: -5.03 eV per atom
Calculated density: 8.09 g cm⁻³
Calculated volume: 31.32 Å³ per atom
Fermi-level density of states: 3.639 states/eV per atom

Structure (POSCAR):
```
CeHo
1.0
3.971 0.000 0.000
0.000 3.971 0.000
0.000 0.000 3.971
Ho Ce
1 1
direct
0.000 0.000 0.000 Ho
0.500 0.500 0.500 Ce
```



[12]
Crystalline Ce6Ho at its relaxed geometry. Source: Alexandria via LeMat-Bulk, functional GGA-PBE.

Output
Electronic total energy: -5.07 eV per atom
Calculated density: 7.63 g cm⁻³
Calculated volume: 31.27 Å³ per atom
Fermi-level density of states: 3.809 states/eV per atom

Structure (POSCAR):
```
Ce6Ho
1.0
-1.402 -5.455 -3.393
6.469 1.148 -0.270
-1.827 -0.787 6.268
Ce Ho
6 1
direct
0.250 0.750 0.500 Ce
0.500 0.750 0.250 Ce
0.250 0.500 0.750 Ce
0.750 0.250 0.500 Ce
0.500 0.250 0.750 Ce
0.750 0.500 0.250 Ce
0.000 0.000 0.000 Ho
```